No. 1
The following is a DFT calculation (PBE-GGA) of a relaxed structure of Sc2AgH2.

## Properties
Uncorrected energy (eV per atom): -4.98
Total magnetization (μB/cell): 0.0

Lattice parameters (Å, degrees): 3.4024 3.4024 6.2466 74.20 74.20 90.00
Fractional coordinates of all 5 atoms:
Sc1 0.3474 0.3474 0.3051
Sc2 0.6526 0.6526 0.6949
H1 0.7500 0.2500 0.5000
H2 0.2500 0.7500 0.5000
Ag1 0.0000 0.0000 0.0000

No. 2
The following is a DFT calculation (PBE-GGA) of a relaxed structure of CaUS2.

## Properties
Uncorrected energy (eV per atom): -7.01
Formation energy from raw total energies (kJ/mol of atoms): -156.9
E above lowest polymorph (kJ/mol of formula units): 0
Total magnetization (μB/cell): 3.1

Lattice parameters (Å, degrees): 3.8636 3.8636 7.1288 74.28 74.28 60.00
Fractional coordinates of all 4 atoms:
Ca1 0.5000 0.5000 0.5000
U1 0.0000 0.0000 0.0000
S1 0.2501 0.2501 0.2498
S2 0.7499 0.7499 0.7502

No. 3
The following is a DFT calculation (PBE-GGA) of a relaxed structure of TiCo2Au.

## Properties
Uncorrected energy (eV per atom): -6.05
ΔH_f (0 K) (meV/atom): 298
Total magnetization (μB/cell): 3.2

Lattice parameters (Å, degrees): 3.7806 3.7806 8.9334 77.78 77.78 90.00
Fractional coordinates of all 8 atoms:
Co1 0.5817 0.1250 0.2500
Co2 0.1683 0.6250 0.2500
Co3 0.3750 0.4183 0.7500
Co4 0.8750 0.8317 0.7500
Au1 0.0000 0.0000 0.0000
Au2 0.7500 0.2500 0.5000
Ti1 0.5000 0.5000 0.0000
Ti2 0.2500 0.7500 0.5000

No. 4
The following is a DFT calculation (PBE-GGA) of a relaxed structure of Bi2MoRu.

## Properties
Uncorrected energy (eV per atom): -6.39
ΔH_f (0 K) (meV/atom): 581
E above lowest polymorph (kJ/mol of formula units): 0
Total magnetization (μB/cell): 0.0

Lattice parameters (Å, degrees): 4.8143 4.8143 4.8143 60.00 60.00 60.00
Fractional coordinates of all 4 atoms:
Ru1 0.5000 0.5000 0.5000
Mo1 0.0000 0.0000 0.0000
Bi1 0.2500 0.2500 0.2500
Bi2 0.7500 0.7500 0.7500

No. 5
The following is a DFT calculation (PBE-GGA) of a relaxed structure of Na2SbPd5Au2.

## Properties
Uncorrected energy (eV per atom): -4.16
Formation energy from raw total energies (kJ/mol of atoms): -22.0
Total magnetization (μB/cell): 0.0

Lattice parameters (Å, degrees): 3.9968 9.7307 9.7307 90.00 90.00 90.00
Fractional coordinates of all 20 atoms:
Na1 0.0000 0.6676 0.1676
Na2 0.0000 0.3324 0.8324
Na3 0.0000 0.1676 0.3324
Na4 0.0000 0.8324 0.6676
Sb1 0.0000 0.0000 0.0000
Sb2 0.0000 0.5000 0.5000
Pd1 0.5000 0.1939 0.0611
Pd2 0.5000 0.8061 0.9389
Pd3 0.5000 0.0611 0.8061
Pd4 0.5000 0.6939 0.4389
Pd5 0.5000 0.9389 0.1939
Pd6 0.5000 0.3061 0.5611
Pd7 0.5000 0.5611 0.6939
Pd8 0.5000 0.4389 0.3061
Pd9 0.5000 0.5000 0.0000
Pd10 0.5000 0.0000 0.5000
Au1 0.0000 0.1314 0.6314
Au2 0.0000 0.8686 0.3686
Au3 0.0000 0.6314 0.8686
Au4 0.0000 0.3686 0.1314

No. 6
The following is a DFT calculation (PBE-GGA) of a relaxed structure of Ca2InHg2Pd5.

## Properties
Uncorrected energy (eV per atom): -3.83
ΔH_f (0 K) (meV/atom): -494
Total magnetization (μB/cell): 0.0

Lattice parameters (Å, degrees): 3.9514 10.1438 10.1438 90.00 90.00 90.00
Fractional coordinates of all 20 atoms:
Ca1 0.0000 0.6690 0.1690
Ca2 0.0000 0.3310 0.8310
Ca3 0.0000 0.1690 0.3310
Ca4 0.0000 0.8310 0.6690
In1 0.0000 0.0000 0.0000
In2 0.0000 0.5000 0.5000
Hg1 0.0000 0.1306 0.6306
Hg2 0.0000 0.8694 0.3694
Hg3 0.0000 0.6306 0.8694
Hg4 0.0000 0.3694 0.1306
Pd1 0.5000 0.1934 0.0582
Pd2 0.5000 0.8066 0.9418
Pd3 0.5000 0.0582 0.8066
Pd4 0.5000 0.6934 0.4418
Pd5 0.5000 0.9418 0.1934
Pd6 0.5000 0.3066 0.5582
Pd7 0.5000 0.5582 0.6934
Pd8 0.5000 0.4418 0.3066
Pd9 0.5000 0.5000 0.0000
Pd10 0.5000 0.0000 0.5000

No. 7
The following is a DFT calculation (PBE-GGA) of a relaxed structure of LaTm2Si4.

## Properties
Uncorrected energy (eV per atom): -5.84
Formation energy from raw total energies (kJ/mol of atoms): -73.5
Total magnetization (μB/cell): 0.0

Lattice parameters (Å, degrees): 3.8899 4.3244 9.2040 103.59 102.20 90.00
Fractional coordinates of all 7 atoms:
La1 0.5000 0.0000 0.0000
Tm1 0.8165 0.8165 0.6331
Tm2 0.1835 0.1835 0.3669
Si1 0.6521 0.6521 0.3042
Si2 0.3479 0.3479 0.6958
Si3 0.0685 0.5685 0.1370
Si4 0.9315 0.4315 0.8630

No. 8
The following is a DFT calculation (PBE-GGA) of a relaxed structure of Li2LuAg.

## Properties
Uncorrected energy (eV per atom): -2.77
ΔH_f (0 K) (meV/atom): 28
E above lowest polymorph (kJ/mol of formula units): 16
Total magnetization (μB/cell): 0.0

Lattice parameters (Å, degrees): 4.7404 4.7404 4.7404 60.00 60.00 60.00
Fractional coordinates of all 4 atoms:
Lu1 0.0000 0.0000 0.0000
Ag1 0.5000 0.5000 0.5000
Li1 0.2500 0.2500 0.2500
Li2 0.7500 0.7500 0.7500